(1)
## NaThSeO2 (PBE-GGA)

Data for a relaxed NaThSeO2 crystal.

```
data_NaThSeO2
_chemical_formula_sum 'Na2 Th2 Se2 O4'
_symmetry_space_group_name_H-M 'I 4 m m'
_symmetry_Int_Tables_number 107
_symmetry_space_group_name_Hall 'I 4 -2'
_cell_length_a 3.991
_cell_length_b 3.991
_cell_length_c 13.148
_cell_angle_alpha 90.00
_cell_angle_beta 90.00
_cell_angle_gamma 90.00
loop_
_atom_site_label
_atom_site_fract_x
_atom_site_fract_y
_atom_site_fract_z
Na1 0.000 0.000 0.000
Th1 0.000 0.000 0.328
Se1 0.000 0.000 0.673
O1 0.000 0.500 0.401
```

Results
As for the uncorrected formation energy: -11.1 eV per formula unit.

***

(2)
## LuNi2B2C (PBE-GGA)

Data for a relaxed LuNi2B2C crystal.

```
data_LuNi2B2C
_chemical_formula_sum 'Lu2 Ni4 B4 C2'
_symmetry_space_group_name_H-M 'I 4/m m m'
_symmetry_Int_Tables_number 139
_symmetry_space_group_name_Hall '-I 4 2'
_cell_length_a 3.464
_cell_length_b 3.464
_cell_length_c 10.565
_cell_angle_alpha 90.00
_cell_angle_beta 90.00
_cell_angle_gamma 90.00
loop_
_atom_site_label
_atom_site_fract_x
_atom_site_fract_y
_atom_site_fract_z
Lu1 0.000 0.000 0.000
Ni1 0.000 0.500 0.250
B1 0.000 0.000 0.359
C1 0.000 0.000 0.500
```

Results
Its energy relative to the elements is -518 meV per atom.

***

(3)
## TaCr3Co (PBE-GGA)

Data for a relaxed TaCr3Co crystal.

```
data_TaCr3Co
_chemical_formula_sum 'Ta1 Cr3 Co1'
_symmetry_space_group_name_H-M 'P m -3 m'
_symmetry_Int_Tables_number 221
_symmetry_space_group_name_Hall '-P 4 2 3'
_cell_length_a 4.434
_cell_length_b 4.434
_cell_length_c 4.434
_cell_angle_alpha 90.00
_cell_angle_beta 90.00
_cell_angle_gamma 90.00
loop_
_atom_site_label
_atom_site_fract_x
_atom_site_fract_y
_atom_site_fract_z
Ta1 0.000 0.000 0.000
Cr1 0.000 0.000 0.500
Co1 0.500 0.500 0.500
```

Results
For the excess energy over the best structure of this formula in the dataset, the calculation gives 1130.6 meV per atom. Its energy relative to the elements is 2197 meV per atom.

***

(4)
## Nd2Sm2Cd3 (PBE-GGA)

Data for a relaxed Nd2Sm2Cd3 crystal.

```
data_Nd2Sm2Cd3
_chemical_formula_sum 'Nd4 Sm4 Cd6'
_symmetry_space_group_name_H-M 'C 1 2/m 1'
_symmetry_Int_Tables_number 12
_cell_length_a 9.319
_cell_length_b 5.385
_cell_length_c 9.088
_cell_angle_alpha 90.00
_cell_angle_beta 110.14
_cell_angle_gamma 90.00
loop_
_symmetry_equiv_pos_as_xyz
'x,y,z'
'-x,-y,-z'
'-x,y,-z'
'x,-y,z'
'x+1/2,y+1/2,z'
'-x+1/2,-y+1/2,-z'
'-x+1/2,y+1/2,-z'
'x+1/2,-y+1/2,z'
loop_
_atom_site_label
_atom_site_fract_x
_atom_site_fract_y
_atom_site_fract_z
Nd1 0.116 0.000 0.349
Sm1 0.130 0.500 0.889
Cd1 0.000 0.500 0.500
Cd2 0.247 0.000 0.737
```

Results
Its energy relative to the elements is -154 meV per atom.

***

(5)
## MgTlP2 (PBE-GGA)

Data for a relaxed MgTlP2 crystal.

```
data_MgTlP2
_chemical_formula_sum 'Mg2 Tl2 P4'
_symmetry_space_group_name_H-M 'I m m m'
_symmetry_Int_Tables_number 71
_symmetry_space_group_name_Hall '-I 2 2'
_cell_length_a 3.996
_cell_length_b 5.140
_cell_length_c 7.962
_cell_angle_alpha 90.00
_cell_angle_beta 90.00
_cell_angle_gamma 90.00
loop_
_atom_site_label
_atom_site_fract_x
_atom_site_fract_y
_atom_site_fract_z
Mg1 0.000 0.000 0.000
Tl1 0.000 0.000 0.500
P1 0.000 0.500 0.270
```

Results
For the excess energy over the best structure of this formula in the dataset, the calculation gives 405.5 meV per atom. Its energy relative to the elements is 298 meV per atom.

***

(6)
## Ho3CdPd (PBE-GGA)

Data for a relaxed Ho3CdPd crystal.

```
data_Ho3CdPd
_chemical_formula_sum 'Ho12 Cd4 Pd4'
_symmetry_space_group_name_H-M 'C m m m'
_symmetry_Int_Tables_number 65
_symmetry_space_group_name_Hall '-C 2 2'
_cell_length_a 9.926
_cell_length_b 14.931
_cell_length_c 3.838
_cell_angle_alpha 90.00
_cell_angle_beta 90.00
_cell_angle_gamma 90.00
loop_
_atom_site_label
_atom_site_fract_x
_atom_site_fract_y
_atom_site_fract_z
Ho1 0.000 0.172 0.000
Ho2 0.196 0.383 0.500
Cd1 0.000 0.000 0.500
Cd2 0.000 0.500 0.000
Pd1 0.250 0.250 0.000
```

Results
Its energy relative to the elements is -318 meV per atom.

***

(7)
## LaV3N (PBE-GGA)

Data for a relaxed LaV3N crystal.

```
data_LaV3N
_chemical_formula_sum 'La1 V3 N1'
_symmetry_space_group_name_H-M 'P m -3 m'
_symmetry_Int_Tables_number 221
_symmetry_space_group_name_Hall '-P 4 2 3'
_cell_length_a 4.511
_cell_length_b 4.511
_cell_length_c 4.511
_cell_angle_alpha 90.00
_cell_angle_beta 90.00
_cell_angle_gamma 90.00
loop_
_atom_site_label
_atom_site_fract_x
_atom_site_fract_y
_atom_site_fract_z
La1 0.000 0.000 0.000
V1 0.000 0.000 0.500
N1 0.500 0.500 0.500
```

Results
For the excess energy over the best structure of this formula in the dataset, the calculation gives 2649.1 meV per atom. As for the uncorrected formation energy: 13.4 eV per formula unit.

***

(8)
## Ca2ZnO (PBE-GGA)

Data for a relaxed Ca2ZnO crystal.

```
data_Ca2ZnO
_chemical_formula_sum 'Ca8 Zn4 O4'
_symmetry_space_group_name_H-M 'I -4 2 d'
_symmetry_Int_Tables_number 122
_symmetry_space_group_name_Hall 'I -4 2bw'
_cell_length_a 6.731
_cell_length_b 6.731
_cell_length_c 8.603
_cell_angle_alpha 90.00
_cell_angle_beta 90.00
_cell_angle_gamma 90.00
loop_
_atom_site_label
_atom_site_fract_x
_atom_site_fract_y
_atom_site_fract_z
Ca1 0.146 0.250 0.125
Zn1 0.000 0.000 0.500
O1 0.000 0.000 0.000
```

Results
For the excess energy over the best structure of this formula in the dataset, the calculation gives 0.0 meV per atom. As for the uncorrected formation energy: -5.5 eV per formula unit.